1.
Entry from the Alexandria database: a geometry-optimized MnTlCr structure (PBE).

Lattice parameters (Å, degrees): 4.415 4.415 4.415 60.00 60.00 60.00
Site moments in Bohr magnetons follow the coordinates.
Sites, in units of the cell vectors:
1 Cr 0.500 0.500 0.500  -3.45
2 Mn 0.750 0.750 0.750  3.38
3 Tl 0.000 0.000 0.000  0.00

Calculated values
Excess energy over the best structure of this formula in the dataset (eV/atom): 0.238
E_form (eV per atom): 0.7003



2.
Entry from the Alexandria database: a geometry-optimized MnTlCr2 structure (PBE).

Lattice parameters (Å, degrees): 4.722 4.722 4.800 78.36 78.36 35.88
Site moments in Bohr magnetons follow the coordinates.
Sites, in units of the cell vectors:
1 Cr 0.011 0.011 0.916  -0.16
2 Cr 0.489 0.489 0.584  -0.16
3 Mn 0.750 0.750 0.750  2.36
4 Tl 0.250 0.250 0.250  -0.03

Calculated values
Excess energy over the best structure of this formula in the dataset (eV/atom): 0.210
E_form (eV per atom): 0.6063



3.
Entry from the Alexandria database: a geometry-optimized Mn2TlVCr structure (PBE).

Lattice parameters (Å, degrees): 4.254 5.127 4.254 90.00 90.00 90.00
Site moments in Bohr magnetons follow the coordinates.
Sites, in units of the cell vectors:
1 Cr 0.500 0.500 0.500  0.29
2 Tl 0.000 0.500 0.000  -0.04
3 Mn 0.000 0.000 0.500  2.41
4 Mn 0.500 0.000 0.000  2.82
5 V 0.000 0.000 0.000  -1.37

Calculated values
E_form (eV per atom): 1.5090



4.
Entry from the Alexandria database: a geometry-optimized Tm2Mn15Cr2 structure (PBE).

Lattice parameters (Å, degrees): 6.294 6.294 6.294 86.28 86.28 86.28
Site moments in Bohr magnetons follow the coordinates.
Sites, in units of the cell vectors:
1 Tm 0.353 0.353 0.353  -0.14
2 Tm 0.647 0.647 0.647  -0.14
3 Mn 0.500 0.000 0.000  0.32
4 Mn 0.000 0.000 0.500  0.32
5 Mn 0.000 0.500 0.000  0.32
6 Mn 0.000 0.723 0.277  -0.90
7 Mn 0.723 0.277 0.000  -0.90
8 Mn 0.277 0.000 0.723  -0.90
9 Mn 0.277 0.723 0.000  -0.90
10 Mn 0.723 0.000 0.277  -0.90
11 Mn 0.000 0.277 0.723  -0.90
12 Mn 0.124 0.642 0.642  2.11
13 Mn 0.642 0.642 0.124  2.11
14 Mn 0.642 0.124 0.642  2.11
15 Mn 0.876 0.358 0.358  2.11
16 Mn 0.358 0.358 0.876  2.11
17 Mn 0.358 0.876 0.358  2.11
18 Cr 0.097 0.097 0.097  -0.77
19 Cr 0.903 0.903 0.903  -0.77

Calculated values
E_form (eV per atom): 0.0073



5.
Entry from the Alexandria database: a geometry-optimized TmMnCr structure (PBE).

Lattice parameters (Å, degrees): 6.602 6.602 5.710 90.00 90.00 90.00
Site moments in Bohr magnetons follow the coordinates.
Sites, in units of the cell vectors:
1 Cr 0.432 0.432 0.000  -1.98
2 Cr 0.568 0.568 0.500  -1.98
3 Cr 0.068 0.932 0.250  -1.98
4 Cr 0.932 0.068 0.750  -1.98
5 Mn 0.693 0.307 0.750  2.77
6 Mn 0.807 0.807 0.500  2.77
7 Mn 0.193 0.193 0.000  2.77
8 Mn 0.307 0.693 0.250  2.77
9 Tm 0.770 0.230 0.250  -0.02
10 Tm 0.730 0.730 0.000  -0.02
11 Tm 0.270 0.270 0.500  -0.02
12 Tm 0.230 0.770 0.750  -0.02

Calculated values
E_form (eV per atom): 0.5350



6.
Entry from the Alexandria database: a geometry-optimized TmMn4Cr structure (PBE).

Lattice parameters (Å, degrees): 4.901 4.901 4.901 60.00 60.00 60.00
Site moments in Bohr magnetons follow the coordinates.
Sites, in units of the cell vectors:
1 Cr 0.000 0.000 0.000  -2.69
2 Tm 0.250 0.250 0.250  -0.11
3 Mn 0.625 0.625 0.124  1.26
4 Mn 0.625 0.124 0.625  1.26
5 Mn 0.625 0.625 0.625  1.26
6 Mn 0.124 0.625 0.625  1.26

Calculated values
E_form (eV per atom): 0.1594



7.
Entry from the Alexandria database: a geometry-optimized UMnCr structure (PBE).

Lattice parameters (Å, degrees): 2.892 6.060 6.375 53.68 89.04 91.07
Sites, in units of the cell vectors:
1 U 0.744 0.190 0.680
2 U 0.256 0.810 0.320
3 Cr 0.002 0.193 0.263
4 Cr 0.998 0.807 0.737
5 Mn 0.514 0.602 0.148
6 Mn 0.486 0.398 0.852

Calculated values
Excess energy over the best structure of this formula in the dataset (eV/atom): 0.060
E_form (eV per atom): 0.1710



8.
Entry from the Alexandria database: a geometry-optimized UMnCr structure (PBE).

Lattice parameters (Å, degrees): 2.737 4.195 4.195 120.00 90.00 90.00
Sites, in units of the cell vectors:
1 Cr 0.241 0.333 0.667
2 Mn 0.747 0.667 0.333
3 U 0.012 0.000 0.000

Calculated values
Excess energy over the best structure of this formula in the dataset (eV/atom): 0.079
E_form (eV per atom): 0.1899



9.
Entry from the Alexandria database: a geometry-optimized UMn2Cr structure (PBE).

Lattice parameters (Å, degrees): 2.813 2.813 6.829 90.00 90.00 90.00
Site moments in Bohr magnetons follow the coordinates.
Sites, in units of the cell vectors:
1 Cr 0.500 0.500 0.000  -0.43
2 Mn 0.000 0.000 0.799  0.48
3 Mn 0.000 0.000 0.201  0.48
4 U 0.500 0.500 0.500  -0.38

Calculated values
E_form (eV per atom): 0.0415



10.
Entry from the Alexandria database: a geometry-optimized UMnCr structure (PBE).

Lattice parameters (Å, degrees): 2.800 2.800 5.870 103.80 103.80 90.00
Sites, in units of the cell vectors:
1 Cr 0.693 0.693 0.386
2 Mn 0.309 0.309 0.617
3 U 0.999 0.999 0.997

Calculated values
Excess energy over the best structure of this formula in the dataset (eV/atom): 0.000
E_form (eV per atom): 0.1105



11.
Entry from the Alexandria database: a geometry-optimized MnV3Cr8 structure (PBE).

Lattice parameters (Å, degrees): 6.239 6.242 6.241 98.37 97.53 136.44
Sites, in units of the cell vectors:
1 Mn 0.000 0.000 0.000
2 V 0.500 0.748 0.249
3 V 0.500 0.252 0.751
4 V 0.000 0.500 0.500
5 Cr 0.495 0.250 0.245
6 Cr 0.505 0.750 0.755
7 Cr 0.996 0.750 0.245
8 Cr 0.004 0.250 0.754
9 Cr 0.165 0.248 0.415
10 Cr 0.834 0.249 0.082
11 Cr 0.167 0.752 0.918
12 Cr 0.834 0.751 0.585

Calculated values
E_form (eV per atom): 0.3460



12.
Entry from the Alexandria database: a geometry-optimized Mn4VCr3 structure (PBE).

Lattice parameters (Å, degrees): 2.828 4.014 8.025 90.00 90.00 90.00
Site moments in Bohr magnetons follow the coordinates.
Sites, in units of the cell vectors:
1 Cr 0.500 0.000 0.253  0.70
2 Cr 0.500 0.500 0.500  0.72
3 Cr 0.500 0.000 0.747  0.70
4 Mn 0.000 0.000 0.500  -0.28
5 Mn 0.000 0.500 0.749  -0.25
6 Mn 0.000 0.000 0.000  -0.24
7 Mn 0.000 0.500 0.251  -0.25
8 V 0.500 0.500 0.000  0.23

Calculated values
E_form (eV per atom): -0.0174



13.
Entry from the Alexandria database: a geometry-optimized MnV2Cr4 structure (PBE).

Lattice parameters (Å, degrees): 4.161 4.161 6.595 71.61 71.61 90.00
Site moments in Bohr magnetons follow the coordinates.
Sites, in units of the cell vectors:
1 Cr 0.189 0.189 0.623  1.47
2 Cr 0.811 0.811 0.377  1.47
3 Cr 0.000 0.500 0.000  0.47
4 Cr 0.500 0.000 0.000  0.47
5 Mn 0.000 0.000 0.000  -0.46
6 V 0.374 0.374 0.252  -0.84
7 V 0.626 0.626 0.748  -0.84

Calculated values
E_form (eV per atom): 1.0159



14.
Entry from the Alexandria database: a geometry-optimized MnV6Cr3 structure (PBE).

Lattice parameters (Å, degrees): 2.772 9.477 10.951 115.35 90.00 90.00
Sites, in units of the cell vectors:
1 Mn 0.750 0.122 0.664
2 Mn 0.250 0.878 0.336
3 V 0.750 0.601 0.718
4 V 0.250 0.399 0.282
5 V 0.750 0.861 0.151
6 V 0.250 0.139 0.849
7 V 0.750 0.369 0.073
8 V 0.250 0.631 0.927
9 V 0.750 0.661 0.323
10 V 0.250 0.339 0.677
11 V 0.750 0.113 0.452
12 V 0.250 0.887 0.548
13 V 0.750 0.878 0.754
14 V 0.250 0.122 0.246
15 Cr 0.750 0.400 0.886
16 Cr 0.250 0.600 0.114
17 Cr 0.750 0.622 0.516
18 Cr 0.250 0.378 0.484
19 Cr 0.750 0.111 0.048
20 Cr 0.250 0.889 0.952

Calculated values
Excess energy over the best structure of this formula in the dataset (eV/atom): 0.325
E_form (eV per atom): 0.2104



15.
Entry from the Alexandria database: a geometry-optimized MnVCr4 structure (PBE).

Lattice parameters (Å, degrees): 4.567 5.980 6.175 110.94 111.70 90.00
Sites, in units of the cell vectors:
1 Mn 0.500 0.500 0.500
2 Mn 0.000 0.000 0.500
3 V 0.915 0.750 0.000
4 V 0.085 0.250 0.000
5 Cr 0.356 0.094 0.348
6 Cr 0.992 0.594 0.348
7 Cr 0.696 0.157 0.167
8 Cr 0.471 0.657 0.167
9 Cr 0.304 0.843 0.833
10 Cr 0.529 0.343 0.833
11 Cr 0.644 0.906 0.652
12 Cr 0.008 0.406 0.652

Calculated values
Excess energy over the best structure of this formula in the dataset (eV/atom): 0.063
E_form (eV per atom): 0.1973



16.
Entry from the Alexandria database: a geometry-optimized MnV6Cr2 structure (PBE).

Lattice parameters (Å, degrees): 3.799 5.633 7.059 113.52 105.67 90.00
Sites, in units of the cell vectors:
1 Mn 0.000 0.000 0.000
2 V 0.166 0.416 0.332
3 V 0.834 0.084 0.668
4 V 0.834 0.584 0.668
5 V 0.500 0.246 0.000
6 V 0.166 0.916 0.332
7 V 0.500 0.754 0.000
8 Cr 0.666 0.666 0.332
9 Cr 0.334 0.334 0.668

Calculated values
Excess energy over the best structure of this formula in the dataset (eV/atom): 0.403
E_form (eV per atom): 0.5624



17.
Entry from the Alexandria database: a geometry-optimized MnV4Cr structure (PBE).

Lattice parameters (Å, degrees): 4.148 3.809 6.977 77.24 72.71 57.00
Sites, in units of the cell vectors:
1 Mn 0.000 0.000 0.000
2 V 0.628 0.622 0.122
3 V 0.372 0.378 0.878
4 V 0.131 0.114 0.625
5 V 0.869 0.886 0.375
6 Cr 0.500 0.500 0.500

Calculated values
Excess energy over the best structure of this formula in the dataset (eV/atom): 0.660
E_form (eV per atom): 0.5132



18.
Entry from the Alexandria database: a geometry-optimized Mn2V2Cr structure (PBE).

Lattice parameters (Å, degrees): 6.618 6.618 2.877 90.00 90.00 90.00
Site moments in Bohr magnetons follow the coordinates.
Sites, in units of the cell vectors:
1 Cr 0.000 0.000 0.000  1.65
2 Cr 0.500 0.500 0.000  1.65
3 Mn 0.360 0.860 0.000  -0.74
4 Mn 0.860 0.640 0.000  -0.74
5 Mn 0.640 0.140 0.000  -0.74
6 Mn 0.140 0.360 0.000  -0.74
7 V 0.165 0.665 0.500  0.30
8 V 0.665 0.835 0.500  0.30
9 V 0.835 0.335 0.500  0.30
10 V 0.335 0.165 0.500  0.30

Calculated values
E_form (eV per atom): 0.2596



19.
Entry from the Alexandria database: a geometry-optimized Mn3V8Cr2 structure (PBE).

Lattice parameters (Å, degrees): 4.927 6.326 6.424 119.50 95.02 90.00
Sites, in units of the cell vectors:
1 Mn 0.500 0.000 0.000
2 Mn 0.000 0.192 0.000
3 Mn 0.000 0.808 0.000
4 V 0.917 0.605 0.210
5 V 0.083 0.395 0.790
6 V 0.789 0.183 0.367
7 V 0.211 0.817 0.633
8 V 0.574 0.570 0.763
9 V 0.574 0.193 0.763
10 V 0.426 0.807 0.237
11 V 0.426 0.430 0.237
12 Cr 0.272 0.201 0.403
13 Cr 0.728 0.799 0.597

Calculated values
E_form (eV per atom): 0.3082



20.
Entry from the Alexandria database: a geometry-optimized Mn2V3Cr2 structure (PBE).

Lattice parameters (Å, degrees): 2.908 2.872 10.434 90.00 81.99 90.00
Sites, in units of the cell vectors:
1 Mn 0.569 0.500 0.862
2 Mn 0.431 0.500 0.138
3 V 0.860 0.000 0.279
4 V 0.000 0.000 0.000
5 V 0.140 0.000 0.721
6 Cr 0.710 0.500 0.581
7 Cr 0.290 0.500 0.419

Calculated values
E_form (eV per atom): 0.0311



21.
Entry from the Alexandria database: a geometry-optimized Mn2VCr4 structure (PBE).

Lattice parameters (Å, degrees): 4.810 6.493 6.310 120.98 97.13 75.59
Sites, in units of the cell vectors:
1 Mn 0.009 0.697 0.526
2 Mn 0.540 0.409 0.665
3 Mn 0.043 0.404 0.663
4 Mn 0.392 0.552 0.081
5 V 0.895 0.554 0.088
6 V 0.716 0.267 0.233
7 Cr 0.146 0.838 0.946
8 Cr 0.496 0.988 0.372
9 Cr 0.325 0.128 0.806
10 Cr 0.822 0.127 0.799
11 Cr 0.000 0.983 0.377
12 Cr 0.509 0.700 0.515
13 Cr 0.215 0.267 0.235
14 Cr 0.642 0.837 0.945

Calculated values
E_form (eV per atom): 0.0830



22.
Entry from the Alexandria database: a geometry-optimized Mn2V7Cr3 structure (PBE).

Lattice parameters (Å, degrees): 4.007 4.164 9.994 102.02 90.00 90.00
Sites, in units of the cell vectors:
1 Mn 0.000 0.853 0.705
2 Mn 0.000 0.147 0.295
3 V 0.000 0.424 0.848
4 V 0.000 0.717 0.435
5 V 0.000 0.000 0.000
6 V 0.000 0.576 0.152
7 V 0.500 0.079 0.157
8 V 0.500 0.921 0.843
9 V 0.000 0.283 0.565
10 Cr 0.500 0.500 0.000
11 Cr 0.500 0.651 0.302
12 Cr 0.500 0.349 0.698

Calculated values
E_form (eV per atom): 0.3267



23.
Entry from the Alexandria database: a geometry-optimized MnV6Cr2 structure (PBE).

Lattice parameters (Å, degrees): 8.431 5.461 5.461 108.65 94.22 94.22
Sites, in units of the cell vectors:
1 Mn 0.250 0.943 0.057
2 Mn 0.750 0.057 0.943
3 V 0.649 0.642 0.572
4 V 0.851 0.428 0.358
5 V 0.351 0.358 0.428
6 V 0.149 0.572 0.642
7 V 0.812 0.958 0.399
8 V 0.688 0.601 0.042
9 V 0.188 0.042 0.601
10 V 0.312 0.399 0.958
11 V 0.068 0.681 0.199
12 V 0.432 0.801 0.319
13 V 0.932 0.319 0.801
14 V 0.568 0.199 0.681
15 Cr 0.447 0.805 0.819
16 Cr 0.053 0.181 0.195
17 Cr 0.553 0.195 0.181
18 Cr 0.947 0.819 0.805

Calculated values
Excess energy over the best structure of this formula in the dataset (eV/atom): 0.000
E_form (eV per atom): 0.1593